# KTi2As2 GGA-PBEsol optimized geometry
# **E_tot**: -62.52 eV/cell
# **Magnetic moment**: 0.00 Bohr magnetons per cell
data_KTi2As2
_chemical_formula_sum 'K2 Ti4 As4'
_space_group_name_H-M_alt 'I 4/m m m'
_space_group_IT_number 139
_space_group_name_Hall '-I 4 2'
_cell_length_a 4.2258
_cell_length_b 4.2258
_cell_length_c 13.2909
_cell_angle_alpha 90.00
_cell_angle_beta 90.00
_cell_angle_gamma 90.00
loop_
_atom_site_label
_atom_site_fract_x
_atom_site_fract_y
_atom_site_fract_z
_atom_site_occupancy
K1 0.0000 0.0000 0.0000 1
Ti1 0.0000 0.5000 0.2500 1
As1 0.0000 0.0000 0.3533 1